{
  "formula": "Dy4PtAu",
  "functional": "PBE-GGA",
  "state": "relaxed",
  "total_energy_ev_per_cell": -128.4,
  "rho_g_cm3": 11.116,
  "formation_energy_mev_per_atom": -731,
  "dos_ef_per_ev_fu": 5.59,
  "m_tot_mub_per_cell": 0.0,
  "de_polymorph_ev_per_atom": 0.0000,
  "cell": [[4.898, 0.000, 0.000], [0.000, 7.142, 0.000], [0.000, 0.000, 17.800]],
  "species": ["Pt", "Au", "Dy", "Pt", "Au", "Au", "Dy", "Dy", "Dy", "Pt", "Dy", "Dy", "Dy", "Dy", "Dy", "Pt", "Dy", "Dy", "Au", "Dy", "Dy", "Dy", "Dy", "Dy"],
  "fractional_positions": [[0.750, 0.750, 0.797], [0.250, 0.722, 0.573], [0.750, 0.475, 0.278], [0.250, 0.250, 0.203], [0.750, 0.278, 0.427], [0.750, 0.778, 0.073], [0.250, 0.042, 0.071], [0.250, 0.114, 0.350], [0.250, 0.132, 0.559], [0.250, 0.750, 0.297], [0.250, 0.614, 0.150], [0.750, 0.458, 0.571], [0.250, 0.632, 0.941], [0.250, 0.025, 0.778], [0.750, 0.886, 0.650], [0.750, 0.250, 0.703], [0.250, 0.542, 0.429], [0.250, 0.525, 0.722], [0.250, 0.222, 0.927], [0.750, 0.975, 0.222], [0.750, 0.386, 0.850], [0.750, 0.368, 0.059], [0.750, 0.868, 0.441], [0.750, 0.958, 0.929]]
}